Entry 1:
Density functional theory data (PBE-GGA) for PmTm12Co5 after structural relaxation.

For the formation enthalpy at 0 K, the calculation gives -2.7 eV/f.u. The theoretical density is 9.48 Mg/m³. For the volume, the calculation gives 24.0 A^3/atom.

Unit cell a=8.255 b=8.255 c=8.255 alpha=106.12 beta=111.26 gamma=111.08
Fractional coordinates of all 18 atoms:
Pm  0.000  0.500  0.500
Tm  0.530  0.818  0.712
Tm  0.470  0.182  0.288
Tm  0.894  0.182  0.712
Tm  0.106  0.818  0.288
Tm  0.688  0.686  0.375
Tm  0.312  0.314  0.625
Tm  0.312  0.686  0.998
Tm  0.688  0.314  0.002
Tm  0.808  0.603  0.795
Tm  0.192  0.397  0.205
Tm  0.192  0.986  0.795
Tm  0.808  0.014  0.205
Co  0.625  0.625  0.000
Co  0.375  0.375  0.000
Co  0.500  0.112  0.612
Co  0.500  0.888  0.388
Co  0.000  0.000  0.000

---

Entry 2:
Density functional theory data (PBE-GGA) for BeNbCr2Au after structural relaxation.

For the formation enthalpy at 0 K, the calculation gives 3.2 eV/f.u. The theoretical density is 9.39 Mg/m³. For the volume, the calculation gives 14.2 A^3/atom.

Unit cell a=4.047 b=4.348 c=4.047 alpha=90.00 beta=90.00 gamma=90.00
Fractional coordinates of all 5 atoms:
Cr  0.000  0.000  0.500
Cr  0.500  0.000  0.000
Nb  0.000  0.500  0.000
Au  0.500  0.500  0.500
Be  0.000  0.000  0.000

---

Entry 3:
Density functional theory data (PBE-GGA) for RbTiCl4 after structural relaxation.

The uncorrected formation energy comes out at -1.652 eV per atom. The theoretical density is 2.74 Mg/m³. Its distance to the lowest polymorph of the same formula is 0.065 eV per atom. For the volume, the calculation gives 27.8 A^3/atom.

Unit cell a=6.402 b=7.147 c=8.213 alpha=115.79 beta=98.18 gamma=90.00
Fractional coordinates of all 12 atoms:
Rb  0.233  0.197  0.394
Rb  0.767  0.803  0.606
Ti  0.703  0.471  0.941
Ti  0.297  0.529  0.059
Cl  0.792  0.315  0.630
Cl  0.591  0.387  0.198
Cl  0.000  0.270  0.000
Cl  0.409  0.190  0.802
Cl  0.208  0.685  0.370
Cl  0.409  0.613  0.802
Cl  0.000  0.730  0.000
Cl  0.591  0.810  0.198

---

Entry 4:
Density functional theory data (PBE-GGA) for CoRh4 after structural relaxation.

For the formation enthalpy at 0 K, the calculation gives 0.2 eV/f.u. The theoretical density is 11.46 Mg/m³. Its distance to the lowest polymorph of the same formula is 0.008 eV per atom. For the volume, the calculation gives 13.6 A^3/atom.

Unit cell a=5.998 b=5.998 c=4.645 alpha=49.79 beta=49.79 gamma=90.00
Fractional coordinates of all 5 atoms:
Co  0.000  0.000  0.000
Rh  0.797  0.603  0.000
Rh  0.203  0.397  0.000
Rh  0.603  0.203  0.000
Rh  0.397  0.797  0.000

---

Entry 5:
Density functional theory data (PBE-GGA) for CsHoCl4 after structural relaxation.

The uncorrected formation energy comes out at -2.204 eV per atom. The theoretical density is 3.55 Mg/m³. Its distance to the lowest polymorph of the same formula is 0.018 eV per atom. For the volume, the calculation gives 34.3 A^3/atom.

Unit cell a=6.781 b=7.450 c=9.179 alpha=106.01 beta=111.73 gamma=90.00
Fractional coordinates of all 12 atoms:
Cs  0.797  0.750  0.001
Cs  0.203  0.250  0.999
Ho  0.500  0.000  0.500
Ho  0.000  0.500  0.500
Cl  0.542  0.069  0.801
Cl  0.740  0.431  0.199
Cl  0.458  0.931  0.199
Cl  0.260  0.569  0.801
Cl  0.862  0.836  0.590
Cl  0.272  0.664  0.410
Cl  0.138  0.164  0.410
Cl  0.728  0.336  0.590

---

Entry 6:
Density functional theory data (PBE-GGA) for ThBeAs2 after structural relaxation.

For the formation enthalpy at 0 K, the calculation gives -1.6 eV/f.u. The theoretical density is 5.20 Mg/m³. For the volume, the calculation gives 31.2 A^3/atom.

Unit cell a=4.516 b=4.516 c=7.531 alpha=72.55 beta=72.55 gamma=60.00
Fractional coordinates of all 4 atoms:
Be  0.000  0.000  0.000
As  0.098  0.098  0.706
As  0.902  0.902  0.294
Th  0.500  0.500  0.500

---

Entry 7:
Density functional theory data (PBE-GGA) for Y2ZrS after structural relaxation.

The uncorrected formation energy comes out at -0.548 eV per atom. The theoretical density is 4.71 Mg/m³. For the volume, the calculation gives 26.6 A^3/atom.

Unit cell a=3.580 b=3.580 c=9.792 alpha=79.47 beta=79.47 gamma=60.00
Fractional coordinates of all 4 atoms:
Y  0.107  0.107  0.679
Y  0.893  0.893  0.321
S  0.500  0.500  0.500
Zr  0.000  0.000  0.000

---

Entry 8:
Density functional theory data (PBE-GGA) for Na2ThZrTe4 after structural relaxation.

The uncorrected formation energy comes out at -0.997 eV per atom. The theoretical density is 5.93 Mg/m³. For the volume, the calculation gives 30.8 A^3/atom.

Unit cell a=4.249 b=7.344 c=8.261 alpha=107.22 beta=90.00 gamma=90.00
Fractional coordinates of all 8 atoms:
Na  0.500  0.000  0.500
Na  0.000  0.500  0.500
Th  0.000  0.000  0.000
Zr  0.500  0.500  0.000
Te  0.500  0.263  0.241
Te  0.500  0.737  0.759
Te  0.000  0.272  0.770
Te  0.000  0.728  0.230

---

Q: Among the records above, which one has the highest theoretical density?
A: CoRh4

---

Q: What is the theoretical density in the fourth record?
A: 11.46 Mg/m³

---

Repeat the sixth record exactly.
Density functional theory data (PBE-GGA) for ThBeAs2 after structural relaxation.

For the formation enthalpy at 0 K, the calculation gives -1.6 eV/f.u. The theoretical density is 5.20 Mg/m³. For the volume, the calculation gives 31.2 A^3/atom.

Unit cell a=4.516 b=4.516 c=7.531 alpha=72.55 beta=72.55 gamma=60.00
Fractional coordinates of all 4 atoms:
Be  0.000  0.000  0.000
As  0.098  0.098  0.706
As  0.902  0.902  0.294
Th  0.500  0.500  0.500